1.
Co3PPt: relaxed, PBEsol.

formation enthalpy at 0 K	7.80	kcal/mol of atoms
V	66.1	Å³/f.u.
mass density	10.11	Mg/m³
energy	-34.3	eV for the cell shown
DOS(E_F)	5.7	states/eV per cell

Unit cell a=4.044 b=4.044 c=4.044 alpha=90.00 beta=90.00 gamma=90.00
Space group Pm-3m (No. 221)
Inequivalent atoms, fractional coordinates:
Co 0.000 0.000 0.500 (multiplicity 3)
P 0.000 0.000 0.000 (multiplicity 1)
Pt 0.500 0.500 0.500 (multiplicity 1)

***

2.
La2SeN: relaxed, PBEsol.

V	80.5	Å³/f.u.
mass density	7.65	Mg/m³
energy	-109.3	eV for the cell shown
DOS(E_F)	6.1	states/eV per cell
ΔE_f (raw)	-1.06	eV/atom

Unit cell a=6.854 b=6.854 c=6.854 alpha=90.00 beta=90.00 gamma=90.00
Space group Fm-3m (No. 225)
Inequivalent atoms, fractional coordinates:
La 0.250 0.250 0.250 (multiplicity 8)
Se 0.000 0.000 0.000 (multiplicity 4)
N 0.000 0.000 0.500 (multiplicity 4)

***

3.
CaGe2O5: relaxed, PBEsol.

V	87.2	Å³/f.u.
mass density	5.05	Mg/m³
energy	-221.9	eV for the cell shown
DOS(E_F)	0.0	states/eV per cell
ΔE_f (raw)	-2.15	eV/atom
energy relative to the lowest polymorph listed for this composition	0.000	eV/atom

Unit cell a=7.325 b=8.295 c=5.739 alpha=90.00 beta=90.00 gamma=90.00
Space group Pbam (No. 55)
Inequivalent atoms, fractional coordinates:
Ca 0.135 0.166 0.000 (multiplicity 4)
Ge 0.000 0.500 0.246 (multiplicity 4)
Ge 0.109 0.854 0.500 (multiplicity 4)
O 0.000 0.000 0.291 (multiplicity 4)
O 0.106 0.708 0.258 (multiplicity 8)
O 0.156 0.427 0.500 (multiplicity 4)
O 0.159 0.445 0.000 (multiplicity 4)

***

4.
Li6Co3Ni5O16: relaxed, PBEsol.

V	243.7	Å³/f.u.
mass density	5.23	Mg/m³
energy	-375.9	eV for the cell shown
DOS(E_F)	17.7	states/eV per cell
ΔE_f (raw)	-1.27	eV/atom

Unit cell a=9.673 b=5.571 c=9.044 alpha=90.00 beta=90.48 gamma=90.00
Space group Cm (No. 8)
Inequivalent atoms, fractional coordinates:
Li 0.000 0.000 0.000 (multiplicity 2)
Li 0.084 0.252 0.499 (multiplicity 4)
Li 0.252 0.253 0.002 (multiplicity 4)
Li 0.337 0.000 0.502 (multiplicity 2)
Co 0.000 0.000 0.734 (multiplicity 2)
Co 0.084 0.253 0.234 (multiplicity 4)
Ni 0.001 0.500 0.959 (multiplicity 2)
Ni 0.252 0.253 0.735 (multiplicity 4)
Ni 0.336 0.000 0.235 (multiplicity 2)
Ni 0.336 0.500 0.457 (multiplicity 2)
O 0.004 0.500 0.343 (multiplicity 2)
O 0.012 0.000 0.354 (multiplicity 2)
O 0.087 0.239 0.855 (multiplicity 4)
O 0.152 0.500 0.111 (multiplicity 2)
O 0.166 0.000 0.631 (multiplicity 2)
O 0.167 0.000 0.131 (multiplicity 2)
O 0.188 0.500 0.602 (multiplicity 2)
O 0.248 0.239 0.355 (multiplicity 4)
O 0.329 0.000 0.855 (multiplicity 2)
O 0.338 0.500 0.844 (multiplicity 2)
O 0.413 0.278 0.606 (multiplicity 4)
O 0.429 0.225 0.108 (multiplicity 4)

***

5.
MoIr2RuF: relaxed, PBEsol.

V	99.9	Å³/f.u.
mass density	9.98	Mg/m³
energy	-34.1	eV for the cell shown
DOS(E_F)	7.8	states/eV per cell
ΔE_f (raw)	1.89	eV/atom
energy relative to the lowest polymorph listed for this composition	0.712	eV/atom

Unit cell a=4.638 b=4.638 c=4.644 alpha=90.00 beta=90.00 gamma=90.00
Space group P4/mmm (No. 123)
Inequivalent atoms, fractional coordinates:
Mo 0.000 0.000 0.000 (multiplicity 1)
Ir 0.000 0.500 0.000 (multiplicity 2)
Ru 0.000 0.000 0.500 (multiplicity 1)
F 0.500 0.500 0.500 (multiplicity 1)

***

6.
KCo2Os: relaxed, PBEsol.

formation enthalpy at 0 K	18.76	kcal/mol of atoms
V	60.9	Å³/f.u.
mass density	9.47	Mg/m³
energy	-25.6	eV for the cell shown
DOS(E_F)	4.7	states/eV per cell
energy relative to the lowest polymorph listed for this composition	0.000	eV/atom

Unit cell a=2.626 b=2.626 c=8.831 alpha=90.00 beta=90.00 gamma=90.00
Space group P4mm (No. 99)
Inequivalent atoms, fractional coordinates:
K 0.000 0.000 0.000 (multiplicity 1)
Co 0.000 0.000 0.513 (multiplicity 1)
Co 0.500 0.500 0.684 (multiplicity 1)
Os 0.500 0.500 0.317 (multiplicity 1)

***

7.
TlCd3: relaxed, PBEsol.

formation enthalpy at 0 K	1.34	kcal/mol of atoms
V	92.0	Å³/f.u.
mass density	9.78	Mg/m³
energy	-6.0	eV for the cell shown
DOS(E_F)	1.5	states/eV per cell

Unit cell a=3.2433 b=3.2433 c=10.0956 alpha=90.00 beta=90.00 gamma=120.00
Space group P-6m2 (No. 187)
Inequivalent atoms, fractional coordinates:
Tl 0.0000 0.0000 0.0000 (multiplicity 1)
Cd 0.0000 0.0000 0.5000 (multiplicity 1)
Cd 0.6667 0.3333 0.2662 (multiplicity 2)

***

8.
MgScS2N: relaxed, PBEsol.

V	86.1	Å³/f.u.
mass density	2.84	Mg/m³
energy	-26.3	eV for the cell shown
DOS(E_F)	2.0	states/eV per cell
ΔE_f (raw)	-0.14	eV/atom

Unit cell a=4.729 b=4.729 c=3.850 alpha=90.00 beta=90.00 gamma=90.00
Space group P4/mmm (No. 123)
Inequivalent atoms, fractional coordinates:
Mg 0.000 0.000 0.000 (multiplicity 1)
Sc 0.500 0.500 0.500 (multiplicity 1)
S 0.000 0.500 0.000 (multiplicity 2)
N 0.000 0.000 0.500 (multiplicity 1)

***

9.
LiCuAg2: relaxed, PBEsol.

formation enthalpy at 0 K	-0.58	kcal/mol of atoms
V	59.0	Å³/f.u.
mass density	8.05	Mg/m³
energy	-26.0	eV for the cell shown
DOS(E_F)	2.2	states/eV per cell

Unit cell a=8.842 b=2.763 c=4.902 alpha=90.00 beta=99.60 gamma=90.00
Space group C2/m (No. 12)
Inequivalent atoms, fractional coordinates:
Li 0.000 0.000 0.000 (multiplicity 2)
Cu 0.000 0.500 0.500 (multiplicity 2)
Ag 0.243 0.000 0.746 (multiplicity 4)

***

10.
Sm3V: relaxed, PBEsol.

formation enthalpy at 0 K	9.19	kcal/mol of atoms
V	107.1	Å³/f.u.
mass density	7.78	Mg/m³
energy	-93.3	eV for the cell shown
DOS(E_F)	24.9	states/eV per cell

Unit cell a=7.539 b=7.539 c=7.539 alpha=90.00 beta=90.00 gamma=90.00
Space group Fm-3m (No. 225)
Inequivalent atoms, fractional coordinates:
Sm 0.000 0.000 0.000 (multiplicity 4)
Sm 0.250 0.250 0.250 (multiplicity 8)
V 0.000 0.000 0.500 (multiplicity 4)

***

11.
SiC3Cl: relaxed, PBEsol.

V	55.8	Å³/f.u.
mass density	2.96	Mg/m³
energy	-25.0	eV for the cell shown
DOS(E_F)	4.8	states/eV per cell
ΔE_f (raw)	2.33	eV/atom

Unit cell a=3.821 b=3.821 c=3.821 alpha=90.00 beta=90.00 gamma=90.00
Space group Pm-3m (No. 221)
Inequivalent atoms, fractional coordinates:
Si 0.000 0.000 0.000 (multiplicity 1)
C 0.000 0.000 0.500 (multiplicity 3)
Cl 0.500 0.500 0.500 (multiplicity 1)

***

12.
PdPbO2: relaxed, PBEsol.

V	59.3	Å³/f.u.
mass density	9.67	Mg/m³
energy	-95.0	eV for the cell shown
DOS(E_F)	0.7	states/eV per cell
ΔE_f (raw)	-0.82	eV/atom

Unit cell a=5.433 b=9.442 c=4.627 alpha=90.00 beta=90.00 gamma=90.00
Space group Imma (No. 74)
Inequivalent atoms, fractional coordinates:
Pd 0.000 0.000 0.000 (multiplicity 4)
Pb 0.000 0.250 0.468 (multiplicity 4)
O 0.250 0.100 0.750 (multiplicity 8)